No. 1
{
  "formula": "Eu2TlHg",
  "functional": "SCAN",
  "state": "PBEsol geometry",
  "lattice_angstrom": [[5.4241, 0.0000, 0.0000], [2.7120, 4.6974, 0.0000], [2.7120, 1.5658, 4.4287]],
  "species": ["Eu", "Eu", "Tl", "Hg"],
  "frac_coords": [[0.7500, 0.7500, 0.7500], [0.2500, 0.2500, 0.2500], [0.0000, 0.0000, 0.0000], [0.5000, 0.5000, 0.5000]],
  "spacegroup": "No. 225",
  "formation_enthalpy_0k_ev_per_atom": -0.67
}

=====

No. 2
{
  "formula": "Ir2ClF",
  "functional": "SCAN",
  "state": "PBEsol geometry",
  "lattice_angstrom": [[-1.9250, -0.8034, -3.6164], [1.8178, -2.4760, -2.8274], [-1.5449, -3.8069, -0.7417]],
  "species": ["F", "Ir", "Ir", "Cl"],
  "frac_coords": [[0.0000, 0.0000, 0.0000], [0.2500, 0.2500, 0.2500], [0.7500, 0.7500, 0.7500], [0.5000, 0.5000, 0.5000]],
  "raw_formation_energy_ev_per_atom": 1.1823,
  "spacegroup": "No. 225"
}

=====

No. 3
{
  "formula": "Y2HgRu",
  "functional": "SCAN",
  "state": "PBEsol geometry",
  "lattice_angstrom": [[-1.3638, 1.9175, -2.5002], [-2.4912, -1.1767, 2.8138], [2.8566, 6.5701, 3.4807]],
  "species": ["Hg", "Ru", "Y", "Y"],
  "frac_coords": [[0.0000, 0.0000, 0.5000], [0.5000, 0.0000, 0.0000], [0.7546, 0.5092, 0.7929], [0.2454, 0.4908, 0.2071]],
  "spacegroup": "No. 12",
  "formation_enthalpy_0k_ev_per_atom": -0.36
}

=====

No. 4
{
  "formula": "ScCdMo",
  "functional": "SCAN",
  "state": "PBEsol geometry",
  "lattice_angstrom": [[-2.0311, -0.3966, 2.6680], [2.6581, -0.8615, 1.8955], [0.3498, 5.3219, -1.0792]],
  "species": ["Cd", "Mo", "Sc"],
  "frac_coords": [[0.0084, 0.0084, 0.0169], [0.6677, 0.6677, 0.3354], [0.3239, 0.3239, 0.6478]],
  "spacegroup": "No. 107",
  "formation_enthalpy_0k_ev_per_atom": 0.25
}